The following is a DFT calculation (PBE) of a relaxed Li2Sc3Sb3 crystal.

abc: 8.3608 8.3608 5.8612
angles: 90.00 90.00 120.00
With the nearest neighbours (Å) after each atom.
Element x y z (fractional)
Li (0.3333, 0.6667, 0.0000)  2 Li 2.93, 6 Sb 2.97
Li (0.3333, 0.6667, 0.5000)  2 Li 2.93, 6 Sb 2.97
Li (0.6667, 0.3333, 0.0000)  2 Li 2.93, 6 Sb 2.97
Li (0.6667, 0.3333, 0.5000)  2 Li 2.93, 6 Sb 2.97
Sc (0.0000, 0.2458, 0.2500)  5 Sb 2.86-3.17
Sc (0.0000, 0.7542, 0.7500)  5 Sb 2.86-3.17
Sc (0.2458, 0.0000, 0.2500)  5 Sb 2.86-3.17
Sc (0.2458, 0.2458, 0.7500)  5 Sb 2.86-3.17
Sc (0.7542, 0.0000, 0.7500)  5 Sb 2.86-3.17
Sc (0.7542, 0.7542, 0.2500)  5 Sb 2.86-3.17
Sb (0.0000, 0.3905, 0.7500)  5 Sc 2.86-3.17, 4 Li 2.97
Sb (0.0000, 0.6095, 0.2500)  5 Sc 2.86-3.17, 4 Li 2.97
Sb (0.3905, 0.0000, 0.7500)  5 Sc 2.86-3.17, 4 Li 2.97
Sb (0.3905, 0.3905, 0.2500)  5 Sc 2.86-3.17, 4 Li 2.97
Sb (0.6095, 0.0000, 0.2500)  5 Sc 2.86-3.17, 4 Li 2.97
Sb (0.6095, 0.6095, 0.7500)  5 Sc 2.86-3.17, 4 Li 2.97

Calculated values
- Total magnetic moment: 0.0000 μB/atom
- Fermi-level density of states: 3.79 states/eV per cell
- Electronic total energy: -5.18 eV/atom
- Formation energy from raw total energies: -0.783 eV/atom
- Symmetry: P6_3/mcm, No. 193

---

The following is a DFT calculation (PBE) of a relaxed LiSc2Sb2 crystal.

abc: 7.7565 7.7565 3.9063
angles: 90.00 90.00 90.00
With the nearest neighbours (Å) after each atom.
Element x y z (fractional)
Li (0.0000, 0.0000, 0.0000)  4 Sb 2.93
Li (0.5000, 0.5000, 0.0000)  4 Sb 2.93
Sc (0.1480, 0.3520, 0.5000)  6 Sb 2.90-3.07
Sc (0.3520, 0.8520, 0.5000)  6 Sb 2.90-3.07
Sc (0.6480, 0.1480, 0.5000)  6 Sb 2.90-3.07
Sc (0.8520, 0.6480, 0.5000)  6 Sb 2.90-3.07
Sb (0.1570, 0.6570, 0.0000)  6 Sc 2.90-3.07, 2 Li 2.93
Sb (0.3430, 0.1570, 0.0000)  6 Sc 2.90-3.07, 2 Li 2.93
Sb (0.6570, 0.8430, 0.0000)  6 Sc 2.90-3.07, 2 Li 2.93
Sb (0.8430, 0.3430, 0.0000)  6 Sc 2.90-3.07, 2 Li 2.93

Calculated values
- Total magnetic moment: 0.0000 μB/atom
- Fermi-level density of states: 7.41 states/eV per cell
- Electronic total energy: -5.27 eV/atom
- Formation energy from raw total energies: -0.710 eV/atom
- Symmetry: P4/mbm, No. 127

---

The following is a DFT calculation (PBE) of a relaxed LiSc2Sb crystal.

abc: 3.7879 3.7879 6.1578
angles: 90.00 90.00 90.00
With the nearest neighbours (Å) after each atom.
Element x y z (fractional)
Li (0.0000, 0.0000, 0.0000)  2 Sb 3.08, 8 Sc 3.11
Sc (0.5000, 0.5000, 0.2552)  2 Sc 3.02-3.14, 4 Sb 3.07, 4 Li 3.11
Sc (0.5000, 0.5000, 0.7448)  2 Sc 3.02-3.14, 4 Sb 3.07, 4 Li 3.11
Sb (0.0000, 0.0000, 0.5000)  8 Sc 3.07, 2 Li 3.08

Calculated values
- Total magnetic moment: 0.2765 μB/atom
- Fermi-level density of states: 4.43 states/eV per cell
- Electronic total energy: -5.06 eV/atom
- Formation energy from raw total energies: -0.389 eV/atom
- Symmetry: P4/mmm, No. 123

---

The following is a DFT calculation (PBE) of a relaxed Li3ScSb crystal.

abc: 5.0003 5.0003 5.0003
angles: 90.00 90.00 90.00
With the nearest neighbours (Å) after each atom.
Element x y z (fractional)
Li (0.0000, 0.0000, 0.5000)  2 Sb 2.50
Li (0.0000, 0.5000, 0.0000)  2 Sb 2.50
Li (0.5000, 0.0000, 0.0000)  2 Sb 2.50
Sc (0.5000, 0.5000, 0.5000)  12 Li 3.54
Sb (0.0000, 0.0000, 0.0000)  6 Li 2.50

Calculated values
- Total magnetic moment: 0.2707 μB/atom
- Fermi-level density of states: 5.93 states/eV per cell
- Electronic total energy: -3.11 eV/atom
- Formation energy from raw total energies: 0.128 eV/atom
- Symmetry: Pm-3m, No. 221

---

The following is a DFT calculation (PBE) of a relaxed LiScSb crystal.

abc: 6.7287 6.7287 6.7287
angles: 90.00 90.00 90.00
With the nearest neighbours (Å) after each atom.
Element x y z (fractional)
Li (0.0000, 0.0000, 0.0000)  4 Sc 2.91
Li (0.0000, 0.5000, 0.5000)  4 Sc 2.91
Li (0.5000, 0.0000, 0.5000)  4 Sc 2.91
Li (0.5000, 0.5000, 0.0000)  4 Sc 2.91
Sc (0.2500, 0.2500, 0.2500)  4 Li 2.91, 4 Sb 2.91
Sc (0.2500, 0.7500, 0.7500)  4 Li 2.91, 4 Sb 2.91
Sc (0.7500, 0.2500, 0.7500)  4 Li 2.91, 4 Sb 2.91
Sc (0.7500, 0.7500, 0.2500)  4 Li 2.91, 4 Sb 2.91
Sb (0.0000, 0.0000, 0.5000)  4 Sc 2.91
Sb (0.0000, 0.5000, 0.0000)  4 Sc 2.91
Sb (0.5000, 0.0000, 0.0000)  4 Sc 2.91
Sb (0.5000, 0.5000, 0.5000)  4 Sc 2.91

Calculated values
- Total magnetic moment: 0.0000 μB/atom
- Fermi-level density of states: 7.51 states/eV per cell
- Electronic total energy: -4.45 eV/atom
- Formation energy from raw total energies: -0.330 eV/atom
- Symmetry: F-43m, No. 216

---

The following is a DFT calculation (PBE) of a relaxed LiScSb crystal.

abc: 4.3272 4.3272 3.8303
angles: 90.00 90.00 120.00
With the nearest neighbours (Å) after each atom.
Element x y z (fractional)
Li (0.0000, 0.0000, 0.0000)  3 Sb 2.50
Sc (0.3333, 0.6667, 0.5000)  6 Li 3.15, 6 Sb 3.15
Sb (0.6667, 0.3333, 0.0000)  3 Li 2.50

Calculated values
- Total magnetic moment: 0.0002 μB/atom
- Fermi-level density of states: 2.32 states/eV per cell
- Electronic total energy: -4.72 eV/atom
- Formation energy from raw total energies: -0.601 eV/atom
- Symmetry: P-6m2, No. 187